# AlCoSn | Alexandria | GGA-PBE | relaxed
# Spin magnetization, μB/f.u.: 0.5
# Calculated formation energy, eV/atom: -0.2144
# Volume, Å³ per atom: 17.1
# ρ, kg/m³: 6632
data_AlCoSn
_cell_length_a 4.208
_cell_length_b 4.207
_cell_length_c 11.577
_cell_angle_alpha 90.00
_cell_angle_beta 90.11
_cell_angle_gamma 90.00
_symmetry_space_group_name_H-M 'C 1 m 1'
_symmetry_Int_Tables_number 8
_symmetry_space_group_name_Hall 'C -2y'
loop_
_atom_site_label
_atom_site_fract_x
_atom_site_fract_y
_atom_site_fract_z
_atom_site_occupancy
Al1 0.000 0.000 0.000 1
Al2 0.002 0.000 0.237 1
Co1 0.001 0.500 0.114 1
Co2 0.002 0.500 0.358 1
Sn1 0.003 0.000 0.499 1
Sn2 0.009 0.000 0.754 1



# AlCo3Sn | Alexandria | GGA-PBE | relaxed
# Spin magnetization, μB/f.u.: 2.3
# Relative energy among the computed polymorphs, eV/atom: 0.000
# Calculated formation energy, eV/atom: 0.6761
# Volume, Å³ per atom: 15.5
# ρ, kg/m³: 6924
data_AlCo3Sn
_cell_length_a 4.261
_cell_length_b 4.261
_cell_length_c 4.261
_cell_angle_alpha 90.00
_cell_angle_beta 90.00
_cell_angle_gamma 90.00
_symmetry_space_group_name_H-M 'P m -3 m'
_symmetry_Int_Tables_number 221
_symmetry_space_group_name_Hall '-P 4 2 3'
loop_
_atom_site_label
_atom_site_fract_x
_atom_site_fract_y
_atom_site_fract_z
_atom_site_occupancy
Al1 0.000 0.000 0.000 1
Co1 0.000 0.000 0.500 1
Sn1 0.500 0.500 0.500 1



Question: Which of these has the lowest calculated formation energy?
Answer: AlCoSn



Question: Which value of volume does entry 1 give?
Answer: 17.1 Å³ per atom



Question: Among the records above, which one has the lowest spin magnetization?
Answer: AlCoSn



Copy entry 1 word for word.
# AlCoSn | Alexandria | GGA-PBE | relaxed
# Spin magnetization, μB/f.u.: 0.5
# Calculated formation energy, eV/atom: -0.2144
# Volume, Å³ per atom: 17.1
# ρ, kg/m³: 6632
data_AlCoSn
_cell_length_a 4.208
_cell_length_b 4.207
_cell_length_c 11.577
_cell_angle_alpha 90.00
_cell_angle_beta 90.11
_cell_angle_gamma 90.00
_symmetry_space_group_name_H-M 'C 1 m 1'
_symmetry_Int_Tables_number 8
_symmetry_space_group_name_Hall 'C -2y'
loop_
_atom_site_label
_atom_site_fract_x
_atom_site_fract_y
_atom_site_fract_z
_atom_site_occupancy
Al1 0.000 0.000 0.000 1
Al2 0.002 0.000 0.237 1
Co1 0.001 0.500 0.114 1
Co2 0.002 0.500 0.358 1
Sn1 0.003 0.000 0.499 1
Sn2 0.009 0.000 0.754 1